(i)
An optimized crystal structure of SrMgCdGe2, computed with PBE.

abc: 4.5900 4.5900 11.5807
angles: 90.00 90.00 90.00
Closest atoms and distances in Å follow each position.
Fractional coordinates of all 10 atoms:
Mg 0.0000 0.0000 0.0000  4 Ge 2.77
Ge 0.0000 0.0000 0.5000  4 Cd 2.79
Cd 0.0000 0.5000 0.3626  5 Ge 2.65-2.79
Mg 0.5000 0.5000 0.0000  4 Ge 2.77
Sr 0.5000 0.0000 0.2534  4 Cd 3.48, 8 Ge 3.53-3.66, 4 Mg 3.73
Ge 0.5000 0.5000 0.5000  4 Cd 2.79
Cd 0.5000 0.0000 0.6374  5 Ge 2.65-2.79
Sr 0.0000 0.5000 0.7466  4 Cd 3.48, 8 Ge 3.53-3.66, 4 Mg 3.73
Ge 0.5000 0.0000 0.8661  1 Cd 2.65, 4 Mg 2.77
Ge 0.0000 0.5000 0.1339  1 Cd 2.65, 4 Mg 2.77



(ii)
An optimized crystal structure of SrMgCdGe2, computed with PBE.

abc: 6.6675 6.6675 6.6675
angles: 140.31 140.31 57.39
Closest atoms and distances in Å follow each position.
Fractional coordinates of all 5 atoms:
Mg 0.7500 0.2500 0.5000  4 Ge 2.79
Ge 0.8899 0.8899 0.0000  1 Ge 2.58, 2 Mg 2.79, 2 Cd 2.79
Cd 0.2500 0.7500 0.5000  4 Ge 2.79
Sr 0.5000 0.5000 0.0000  8 Ge 3.45, 4 Mg 3.70, 4 Cd 3.70
Ge 0.1101 0.1101 0.0000  1 Ge 2.58, 2 Mg 2.79, 2 Cd 2.79



Energies in eV/atom, measured from the most stable structure: (i) 0.033; (ii) 0.000.



(i)
An optimized crystal structure of CdGeNO, computed with PBE.

abc: 4.5618 4.5618 4.7581
angles: 90.00 90.00 90.00
Closest atoms and distances in Å follow each position.
Fractional coordinates of all 8 atoms:
Cd 0.7500 0.7500 0.9990  4 O 2.28, 2 N 2.38
O 0.2500 0.7500 0.0000  4 Cd 2.28, 2 Ge 2.38
O 0.7500 0.2500 0.0000  4 Cd 2.28, 2 Ge 2.38
Ge 0.2500 0.7500 0.5000  4 N 2.28, 2 O 2.38
Cd 0.2500 0.2500 0.0010  4 O 2.28, 2 N 2.38
N 0.7500 0.7500 0.4995  4 Ge 2.28, 2 Cd 2.38
N 0.2500 0.2500 0.5005  4 Ge 2.28, 2 Cd 2.38
Ge 0.7500 0.2500 0.5000  4 N 2.28, 2 O 2.38



(ii)
An optimized crystal structure of CdGeNO, computed with PBE.

abc: 5.7601 6.0990 6.7816
angles: 90.00 90.00 90.00
Closest atoms and distances in Å follow each position.
Fractional coordinates of all 16 atoms:
O 0.3989 0.3641 0.5924  2 Ge 1.98-1.99
Ge 0.4128 0.9984 0.6213  1 N 1.81, 2 O 1.98-1.99
Cd 0.6048 0.5392 0.8761  3 N 2.22-2.23
Cd 0.3952 0.0391 0.1239  3 N 2.22-2.23
O 0.8989 0.3641 0.4076  2 Ge 1.98-1.99
N 0.9601 0.3959 0.8470  1 Ge 1.81
Cd 0.1048 0.5392 0.1239  3 N 2.22-2.23
Ge 0.5872 0.4984 0.3787  1 N 1.81, 2 O 1.98-1.99
N 0.0399 0.8959 0.1530  1 Ge 1.81
O 0.1011 0.8641 0.5924  2 Ge 1.98-1.99
O 0.6011 0.8641 0.4076  2 Ge 1.98-1.99
N 0.4601 0.3959 0.1530  1 Ge 1.81
Ge 0.0872 0.4984 0.6213  1 N 1.81, 2 O 1.98-1.99
Cd 0.8952 0.0391 0.8761  3 N 2.22-2.23
N 0.5399 0.8959 0.8470  1 Ge 1.81
Ge 0.9128 0.9984 0.3787  1 N 1.81, 2 O 1.98-1.99



Energies in eV/atom, measured from the most stable structure: (i) 0.127; (ii) 0.000.



(i)
An optimized crystal structure of CdGeNO, computed with PBE.

abc: 3.9252 3.9252 7.7803
angles: 90.00 90.00 90.00
Closest atoms and distances in Å follow each position.
Fractional coordinates of all 8 atoms:
N 0.0000 0.5000 0.6456  4 Cd 2.27
O 0.5000 0.5000 0.0000  4 Ge 2.16
Ge 0.5000 0.0000 0.8853  4 O 2.16
Cd 0.5000 0.5000 0.5000  4 N 2.27
O 0.0000 0.0000 0.0000  4 Ge 2.16
N 0.5000 0.0000 0.3544  4 Cd 2.27
Ge 0.0000 0.5000 0.1147  4 O 2.16
Cd 0.0000 0.0000 0.5000  4 N 2.27



(ii)
An optimized crystal structure of CdGeNO, computed with PBE.

abc: 3.6445 5.3502 5.8371
angles: 90.00 90.00 90.00
Closest atoms and distances in Å follow each position.
Fractional coordinates of all 8 atoms:
Ge 0.0000 0.4950 0.3350  2 N 1.89-1.90, 2 O 2.01
Cd 0.5000 0.4877 0.8192  2 N 2.26, 2 O 2.30-2.33
O 0.5000 0.4225 0.2079  2 Ge 2.01
Ge 0.0000 0.9950 0.6650  2 N 1.89-1.90, 2 O 2.01
N 0.0000 0.8489 0.3699  2 Ge 1.89-1.90
Cd 0.5000 0.9877 0.1808  2 N 2.26, 2 O 2.30-2.33
O 0.5000 0.9225 0.7921  2 Ge 2.01
N 0.0000 0.3489 0.6301  2 Ge 1.89-1.90



Energies in eV/atom, measured from the most stable structure: (i) 0.702; (ii) 0.000.



(i)
An optimized crystal structure of CdGeNO, computed with PBE.

abc: 3.4077 5.5970 6.0801
angles: 90.00 90.00 90.00
Closest atoms and distances in Å follow each position.
Fractional coordinates of all 8 atoms:
Cd 0.0000 0.0093 0.6530  2 N 2.27, 2 O 2.37
N 0.0000 0.4102 0.7090  2 Ge 1.92
Cd 0.0000 0.5093 0.3470  2 N 2.27, 2 O 2.37
O 0.5000 0.3432 0.1227  2 Ge 1.93-1.99
N 0.0000 0.9102 0.2910  2 Ge 1.92
Ge 0.5000 0.9912 0.1647  2 N 1.92, 2 O 1.93-1.99
O 0.5000 0.8432 0.8773  2 Ge 1.93-1.99
Ge 0.5000 0.4912 0.8353  2 N 1.92, 2 O 1.93-1.99



(ii)
An optimized crystal structure of CdGeNO, computed with PBE.

abc: 5.4790 8.1137 5.0562
angles: 90.00 90.00 90.00
Closest atoms and distances in Å follow each position.
Fractional coordinates of all 16 atoms:
Cd 0.9404 0.3982 0.5060  2 O 2.33-2.35
O 0.0571 0.7209 0.5868  1 Ge 1.74
Ge 0.0795 0.0957 0.9894  1 O 1.74, 3 N 1.87-1.89
Cd 0.0596 0.6018 0.0060  2 O 2.33-2.35
N 0.6020 0.9154 0.6203  3 Ge 1.87-1.89
Ge 0.5795 0.9043 0.9894  1 O 1.74, 3 N 1.87-1.89
Ge 0.4205 0.0957 0.4894  1 O 1.74, 3 N 1.87-1.89
Ge 0.9205 0.9043 0.4894  1 O 1.74, 3 N 1.87-1.89
N 0.1020 0.0846 0.6203  3 Ge 1.87-1.89
N 0.3980 0.0846 0.1203  3 Ge 1.87-1.89
O 0.4429 0.7209 0.0868  1 Ge 1.74
Cd 0.5596 0.3982 0.0060  2 O 2.33-2.35
Cd 0.4404 0.6018 0.5060  2 O 2.33-2.35
O 0.5571 0.2791 0.5868  1 Ge 1.74
N 0.8980 0.9154 0.1203  3 Ge 1.87-1.89
O 0.9429 0.2791 0.0868  1 Ge 1.74



Energies in eV/atom, measured from the most stable structure: (i) 0.145; (ii) 0.000.